A crystal of BaMo2Se relaxed with PBEsol. Source: Alexandria, functional SCAN.

The structure in extended XYZ format:
```
4
Lattice="-4.2526 -0.3276 -2.3281 -3.6179 -2.6241 1.9069 -3.9300 2.2238 1.7948" Properties=species:S:1:pos:R:3 pbc="T T T"
Ba -5.9003 -0.3640 0.6868
Mo 0.0000 0.0000 0.0000
Mo -8.8504 -0.5459 1.0302
Se -2.9501 -0.1820 0.3434
```

## Properties
Formation energy from raw total energies   0.9939 eV/atom


A crystal of CuAsPt2 relaxed with PBEsol. Source: Alexandria, functional SCAN.

The structure in extended XYZ format:
```
4
Lattice="3.7570 0.0000 0.0000 0.0000 3.7570 0.0000 -1.8785 -1.8785 4.1153" Properties=species:S:1:pos:R:3 pbc="T T T"
As 1.8785 1.8785 0.0000
Pt 0.0000 0.0000 0.0000
Pt 1.8785 0.0000 2.0576
Cu 0.0000 1.8785 2.0576
```


Number 1: raw total energy -125.42 eV/f.u.. Number 2: raw total energy -176.03 eV/f.u..